NbAlN2F, relaxed, DFT PBE-GGA; density of states at the Fermi level = 2.09 states/eV per cell; E above lowest polymorph = 0 meV/atom; uncorrected energy = -7.14 eV/atom; formation energy (no corrections) = -0.674 eV/atom; magnetic moment = 0.86 Bohr magnetons per cell
1.0
-1.5205 1.8829 3.0146
-3.2746 0.5329 -1.9845
-1.2082 -2.9146 1.2111
Nb N Al F
1 2 1 1
Direct
0.5000 0.5000 0.5000
0.0000 0.5000 0.0000
0.5000 0.0000 0.0000
0.0000 0.0000 0.0000
0.0000 0.0000 0.5000